! NpCuO4 (PBE-GGA, relaxed); values from VASP
! Relative energy among the computed polymorphs = 0.248 eV/atom
! Formation energy (no corrections) = -1.740 eV per atom
! Space group = I-4
! DFT total energy = -7.89 eV per atom
&SYSTEM
  ibrav = 0, nat = 6, ntyp = 3
/
ATOMIC_SPECIES
O 16.00 O.upf
Cu 63.55 Cu.upf
Np 237.00 Np.upf
CELL_PARAMETERS angstrom
6.003 0.000 0.000
0.000 6.003 0.000
-3.001 -3.001 2.822
ATOMIC_POSITIONS crystal
O 0.398 0.822 0.083
O 0.178 0.314 0.917
Cu 0.750 0.250 0.500
O 0.739 0.602 0.917
O 0.686 0.261 0.083
Np 0.500 0.500 0.000